No. 1
SmPu2C | PBE | relaxed

It has space group R-3m (No. 166, hexagonal axes), with a = 4.1436 Å, b = 4.1436 Å, c = 17.5465 Å, α = 90.00°, β = 90.00° and γ = 120.00°. The distinct sites, in fractional coordinates, are Sm at (0.0000, 0.0000, 0.0000), Pu at (0.0000, 0.0000, 0.1585) and C at (0.0000, 0.0000, 0.5000).



No. 2
SmPuC | PBE | relaxed

For the relative energy among the computed polymorphs, the calculation gives 374 meV per atom.

It has space group F-43m (No. 216), with a = 6.2066 Å, b = 6.2066 Å, c = 6.2066 Å, α = 90.00°, β = 90.00° and γ = 90.00°. The distinct sites, in fractional coordinates, are Sm at (0.0000, 0.0000, 0.0000), Pu at (0.0000, 0.0000, 0.5000) and C at (0.2500, 0.2500, 0.7500).



No. 3
Sm2PuC | PBE | relaxed

It has space group R-3m (No. 166, hexagonal axes), with a = 3.5629 Å, b = 3.5629 Å, c = 29.7345 Å, α = 90.00°, β = 90.00° and γ = 120.00°. The distinct sites, in fractional coordinates, are Sm at (0.0000, 0.0000, 0.1192), Pu at (0.0000, 0.0000, 0.0000) and C at (0.0000, 0.0000, 0.5000).



No. 4
SmPuC2 | PBE | relaxed

It has space group R-3m (No. 166, hexagonal axes), with a = 3.6076 Å, b = 3.6076 Å, c = 17.3207 Å, α = 90.00°, β = 90.00° and γ = 120.00°. The distinct sites, in fractional coordinates, are Sm at (0.0000, 0.0000, 0.0000), Pu at (0.0000, 0.0000, 0.5000) and C at (0.0000, 0.0000, 0.2357).



No. 5
SmPu2TcC4 | PBE | relaxed

It has space group Cmcm (No. 63), with a = 3.5205 Å, b = 11.7118 Å, c = 12.1973 Å, α = 90.00°, β = 90.00° and γ = 90.00°. The distinct sites, in fractional coordinates, are Sm at (0.0000, 0.1047, 0.2500), Pu at (0.0000, 0.3702, 0.0394), Tc at (0.0000, 0.1592, 0.7500), C at (0.0000, 0.0000, 0.0000), C at (0.0000, 0.2589, 0.6258) and C at (0.0000, 0.4299, 0.2500).



No. 6
Pu4Sn2C | PBE | relaxed

It has space group I4/mmm (No. 139), with a = 4.7731 Å, b = 4.7731 Å, c = 16.0332 Å, α = 90.00°, β = 90.00° and γ = 90.00°. The distinct sites, in fractional coordinates, are Pu at (0.0000, 0.0000, 0.1582), Pu at (0.0000, 0.5000, 0.0000), Sn at (0.0000, 0.0000, 0.3602) and C at (0.0000, 0.0000, 0.0000).



No. 7
PuTh2SnC | PBE | relaxed

It has space group P4/mmm (No. 123), with a = 5.0812 Å, b = 5.0812 Å, c = 4.8411 Å, α = 90.00°, β = 90.00° and γ = 90.00°. The distinct sites, in fractional coordinates, are Pu at (0.0000, 0.0000, 0.0000), Th at (0.0000, 0.5000, 0.5000), Sn at (0.5000, 0.5000, 0.0000) and C at (0.0000, 0.0000, 0.5000).



No. 8
Y2PuSnC | PBE | relaxed

It has space group P4/mmm (No. 123), with a = 4.9426 Å, b = 4.9426 Å, c = 4.7964 Å, α = 90.00°, β = 90.00° and γ = 90.00°. The distinct sites, in fractional coordinates, are Y at (0.0000, 0.5000, 0.0000), Pu at (0.0000, 0.0000, 0.5000), Sn at (0.5000, 0.5000, 0.5000) and C at (0.0000, 0.0000, 0.0000).



No. 9
PuTaC2 | PBE | relaxed

For the relative energy among the computed polymorphs, the calculation gives 190 meV per atom.

It has space group R3m (No. 160, hexagonal axes), with a = 3.2132 Å, b = 3.2132 Å, c = 17.7644 Å, α = 90.00°, β = 90.00° and γ = 120.00°. The distinct sites, in fractional coordinates, are Pu at (0.0000, 0.0000, 0.0000), Ta at (0.0000, 0.0000, 0.1729), C at (0.0000, 0.0000, 0.5766) and C at (0.0000, 0.0000, 0.7652).



No. 10
PuTaC2 | PBE | relaxed

For the relative energy among the computed polymorphs, the calculation gives 0 meV per atom.

It has space group R-3m (No. 166, hexagonal axes), with a = 3.2725 Å, b = 3.2725 Å, c = 16.8858 Å, α = 90.00°, β = 90.00° and γ = 120.00°. The distinct sites, in fractional coordinates, are Pu at (0.0000, 0.0000, 0.0000), Ta at (0.0000, 0.0000, 0.5000) and C at (0.0000, 0.0000, 0.2408).



No. 11
TbPu3C | PBE | relaxed

It has space group Pm-3m (No. 221), with a = 4.9360 Å, b = 4.9360 Å, c = 4.9360 Å, α = 90.00°, β = 90.00° and γ = 90.00°. The distinct sites, in fractional coordinates, are Tb at (0.0000, 0.0000, 0.0000), Pu at (0.0000, 0.5000, 0.5000) and C at (0.5000, 0.5000, 0.5000).



No. 12
TbPuC2 | PBE | relaxed

For the relative energy among the computed polymorphs, the calculation gives 0 meV per atom.

It has space group R-3m (No. 166, hexagonal axes), with a = 3.5771 Å, b = 3.5771 Å, c = 17.1166 Å, α = 90.00°, β = 90.00° and γ = 120.00°. The distinct sites, in fractional coordinates, are Tb at (0.0000, 0.0000, 0.0000), Pu at (0.0000, 0.0000, 0.5000) and C at (0.0000, 0.0000, 0.2382).



No. 13
TbPuC2 | PBE | relaxed

For the relative energy among the computed polymorphs, the calculation gives 127 meV per atom.

It has space group R3m (No. 160, hexagonal axes), with a = 3.5219 Å, b = 3.5219 Å, c = 17.5573 Å, α = 90.00°, β = 90.00° and γ = 120.00°. The distinct sites, in fractional coordinates, are Tb at (0.0000, 0.0000, 0.0000), Pu at (0.0000, 0.0000, 0.1689), C at (0.0000, 0.0000, 0.5758) and C at (0.0000, 0.0000, 0.7637).



No. 14
Tb2PuC | PBE | relaxed

It has space group R-3m (No. 166, hexagonal axes), with a = 3.5081 Å, b = 3.5081 Å, c = 29.1803 Å, α = 90.00°, β = 90.00° and γ = 120.00°. The distinct sites, in fractional coordinates, are Tb at (0.0000, 0.0000, 0.1194), Pu at (0.0000, 0.0000, 0.0000) and C at (0.0000, 0.0000, 0.5000).



No. 15
TbPu2Tc2C4 | PBE | relaxed

It has space group C2/m (No. 12), with a = 14.5030 Å, b = 3.2288 Å, c = 5.7030 Å, α = 90.00°, β = 111.34° and γ = 90.00°. The distinct sites, in fractional coordinates, are Tb at (0.0000, 0.0000, 0.0000), Pu at (0.1390, 0.0000, 0.5110), Tc at (0.1738, 0.5000, 0.9886), C at (0.0195, 0.5000, 0.6358) and C at (0.2347, 0.0000, 0.2345).



No. 16
Tb2PuUC4 | PBE | relaxed

It has space group P2/m (No. 10), with a = 6.1065 Å, b = 3.5950 Å, c = 6.2149 Å, α = 90.00°, β = 109.99° and γ = 90.00°. The distinct sites, in fractional coordinates, are Tb at (0.0000, 0.0000, 0.0000), Tb at (0.0000, 0.5000, 0.5000), Pu at (0.5000, 0.0000, 0.5000), U at (0.5000, 0.5000, 0.0000), C at (0.2840, 0.5000, 0.2554) and C at (0.2862, 0.0000, 0.7718).



No. 17
PuTcC | PBE | relaxed

For the relative energy among the computed polymorphs, the calculation gives 55 meV per atom.

It has space group P-6m2 (No. 187), with a = 3.4818 Å, b = 3.4818 Å, c = 4.6524 Å, α = 90.00°, β = 90.00° and γ = 120.00°. The distinct sites, in fractional coordinates, are Pu at (0.0000, 0.0000, 0.0000), Tc at (0.6667, 0.3333, 0.5000) and C at (0.3333, 0.6667, 0.5000).



No. 18
Pu2Tc3C2 | PBE | relaxed

It has space group C2/m (No. 12), with a = 10.0020 Å, b = 3.1261 Å, c = 6.8530 Å, α = 90.00°, β = 118.55° and γ = 90.00°. The distinct sites, in fractional coordinates, are Pu at (0.1793, 0.0000, 0.3547), Tc at (0.0000, 0.5000, 0.5000), Tc at (0.1281, 0.5000, 0.9534) and C at (0.1360, 0.0000, 0.7506).



No. 19
PuTc2C2 | PBE | relaxed

It has space group I4/mmm (No. 139), with a = 3.8024 Å, b = 3.8024 Å, c = 10.0692 Å, α = 90.00°, β = 90.00° and γ = 90.00°. The distinct sites, in fractional coordinates, are Pu at (0.0000, 0.0000, 0.0000), Tc at (0.0000, 0.5000, 0.2500) and C at (0.0000, 0.0000, 0.3379).



No. 20
Pu2Tc5C4 | PBE | relaxed

It has space group Fmmm (No. 69), with a = 5.3657 Å, b = 10.2358 Å, c = 10.8625 Å, α = 90.00°, β = 90.00° and γ = 90.00°. The distinct sites, in fractional coordinates, are Pu at (0.0000, 0.0000, 0.1480), Tc at (0.0000, 0.0000, 0.5000), Tc at (0.2500, 0.2500, 0.0000), Tc at (0.2500, 0.2500, 0.2500) and C at (0.0000, 0.1544, 0.3647).



no.,energy of formation (meV/atom)
1,576
2,360
3,148
4,58
5,71
6,-167
7,-372
8,-496
9,-158
10,-348
11,212
12,-17
13,110
14,62
15,22
16,-146
17,189
18,240
19,235
20,87